1.
A PBEsol-optimized structure of Ca4YAg. Source: Alexandria via LeMat-Bulk, functional meta-GGA SCAN.

Cell and atoms, written as CIF:
```
data_Ca4YAg
_chemical_formula_sum 'Ca4 Y1 Ag1'
_cell_length_a 6.662
_cell_length_b 6.662
_cell_length_c 6.662
_cell_angle_alpha 60.00
_cell_angle_beta 60.00
_cell_angle_gamma 60.00
_symmetry_space_group_name_H-M 'P 1'
_symmetry_Int_Tables_number 1
loop_
_symmetry_equiv_pos_as_xyz
'x,y,z'
loop_
_atom_site_label
_atom_site_type_symbol
_atom_site_fract_x
_atom_site_fract_y
_atom_site_fract_z
Ca1 Ca 0.125 0.125 0.125
Ca2 Ca 0.125 0.125 0.626
Ca3 Ca 0.125 0.626 0.125
Ca4 Ca 0.626 0.125 0.125
Y1 Y 0.750 0.750 0.750
Ag1 Ag 0.500 0.500 0.500
```

- calculated total energy (eV/atom) = -15.836
- total magnetic moment (μB/f.u.) = 1.67
- calculated formation energy (eV/atom) = 0.48

=====

2.
A PBEsol-optimized structure of GaAsO2. Source: Alexandria via LeMat-Bulk, functional meta-GGA SCAN.

Cell and atoms, written as CIF:
```
data_GaAsO2
_chemical_formula_sum 'Ga1 As1 O2'
_cell_length_a 6.740
_cell_length_b 6.740
_cell_length_c 6.740
_cell_angle_alpha 26.77
_cell_angle_beta 26.77
_cell_angle_gamma 26.77
_symmetry_space_group_name_H-M 'P 1'
_symmetry_Int_Tables_number 1
loop_
_symmetry_equiv_pos_as_xyz
'x,y,z'
loop_
_atom_site_label
_atom_site_type_symbol
_atom_site_fract_x
_atom_site_fract_y
_atom_site_fract_z
Ga1 Ga 0.000 0.000 0.000
As1 As 0.500 0.500 0.500
O1 O 0.106 0.106 0.106
O2 O 0.894 0.894 0.894
```

- calculated total energy (eV/atom) = -12.929
- total magnetic moment (μB/f.u.) = 0.00
- uncorrected formation energy (eV/atom) = -0.6792

=====

3.
A PBEsol-optimized structure of YFeOs2. Source: Alexandria via LeMat-Bulk, functional meta-GGA SCAN.

Cell and atoms, written as CIF:
```
data_YFeOs2
_chemical_formula_sum 'Y1 Fe1 Os2'
_cell_length_a 4.461
_cell_length_b 4.461
_cell_length_c 4.461
_cell_angle_alpha 60.00
_cell_angle_beta 60.00
_cell_angle_gamma 60.00
_symmetry_space_group_name_H-M 'P 1'
_symmetry_Int_Tables_number 1
loop_
_symmetry_equiv_pos_as_xyz
'x,y,z'
loop_
_atom_site_label
_atom_site_type_symbol
_atom_site_fract_x
_atom_site_fract_y
_atom_site_fract_z
Y1 Y 0.000 0.000 0.000
Fe1 Fe 0.500 0.500 0.500
Os1 Os 0.250 0.250 0.250
Os2 Os 0.750 0.750 0.750
```

- calculated total energy (eV/atom) = -47.088
- total magnetic moment (μB/f.u.) = 3.82
- calculated formation energy (eV/atom) = 0.35

=====

4.
A PBEsol-optimized structure of Al2HgSe4. Source: Alexandria via LeMat-Bulk, functional meta-GGA SCAN.

Cell and atoms, written as CIF:
```
data_Al2HgSe4
_chemical_formula_sum 'Al2 Hg1 Se4'
_cell_length_a 6.742
_cell_length_b 6.742
_cell_length_c 6.742
_cell_angle_alpha 129.76
_cell_angle_beta 129.76
_cell_angle_gamma 73.80
_symmetry_space_group_name_H-M 'P 1'
_symmetry_Int_Tables_number 1
loop_
_symmetry_equiv_pos_as_xyz
'x,y,z'
loop_
_atom_site_label
_atom_site_type_symbol
_atom_site_fract_x
_atom_site_fract_y
_atom_site_fract_z
Al1 Al 0.000 0.000 0.000
Al2 Al 0.750 0.250 0.500
Hg1 Hg 0.250 0.750 0.500
Se1 Se 0.130 0.612 0.962
Se2 Se 0.388 0.349 0.518
Se3 Se 0.651 0.169 0.038
Se4 Se 0.831 0.870 0.482
```

- calculated total energy (eV/atom) = -24.220
- total magnetic moment (μB/f.u.) = 0.00
- uncorrected formation energy (eV/atom) = -0.7939

=====

5.
A PBEsol-optimized structure of Ba6Na2V2Sb2O17. Source: Alexandria via LeMat-Bulk, functional meta-GGA SCAN.

Cell and atoms, written as CIF:
```
data_Ba6Na2V2Sb2O17
_chemical_formula_sum 'Ba12 Na4 V4 Sb4 O34'
_cell_length_a 5.892
_cell_length_b 5.892
_cell_length_c 30.010
_cell_angle_alpha 90.00
_cell_angle_beta 90.00
_cell_angle_gamma 120.00
_symmetry_space_group_name_H-M 'P 1'
_symmetry_Int_Tables_number 1
loop_
_symmetry_equiv_pos_as_xyz
'x,y,z'
loop_
_atom_site_label
_atom_site_type_symbol
_atom_site_fract_x
_atom_site_fract_y
_atom_site_fract_z
Ba1 Ba 0.000 0.000 0.000
Ba2 Ba 0.000 0.000 0.250
Ba3 Ba 0.000 0.000 0.500
Ba4 Ba 0.000 0.000 0.750
Ba5 Ba 0.333 0.667 0.091
Ba6 Ba 0.333 0.667 0.409
Ba7 Ba 0.333 0.667 0.676
Ba8 Ba 0.333 0.667 0.824
Ba9 Ba 0.667 0.333 0.176
Ba10 Ba 0.667 0.333 0.324
Ba11 Ba 0.667 0.333 0.591
Ba12 Ba 0.667 0.333 0.909
Na1 Na 0.000 0.000 0.123
Na2 Na 0.000 0.000 0.377
Na3 Na 0.000 0.000 0.623
Na4 Na 0.000 0.000 0.877
V1 V 0.333 0.667 0.552
V2 V 0.333 0.667 0.948
V3 V 0.667 0.333 0.052
V4 V 0.667 0.333 0.448
Sb1 Sb 0.333 0.667 0.202
Sb2 Sb 0.333 0.667 0.298
Sb3 Sb 0.667 0.333 0.702
Sb4 Sb 0.667 0.333 0.798
O1 O 0.033 0.517 0.250
O2 O 0.171 0.342 0.169
O3 O 0.171 0.342 0.331
O4 O 0.171 0.829 0.169
O5 O 0.171 0.829 0.331
O6 O 0.176 0.351 0.572
O7 O 0.176 0.351 0.928
O8 O 0.176 0.824 0.572
O9 O 0.176 0.824 0.928
O10 O 0.333 0.667 0.005
O11 O 0.333 0.667 0.495
O12 O 0.342 0.171 0.669
O13 O 0.342 0.171 0.831
O14 O 0.351 0.176 0.072
O15 O 0.351 0.176 0.428
O16 O 0.483 0.517 0.250
O17 O 0.483 0.967 0.250
O18 O 0.517 0.033 0.750
O19 O 0.517 0.483 0.750
O20 O 0.649 0.824 0.572
O21 O 0.649 0.824 0.928
O22 O 0.658 0.829 0.169
O23 O 0.658 0.829 0.331
O24 O 0.667 0.333 0.505
O25 O 0.667 0.333 0.995
O26 O 0.824 0.176 0.072
O27 O 0.824 0.176 0.428
O28 O 0.824 0.649 0.072
O29 O 0.824 0.649 0.428
O30 O 0.829 0.171 0.669
O31 O 0.829 0.171 0.831
O32 O 0.829 0.658 0.669
O33 O 0.829 0.658 0.831
O34 O 0.967 0.483 0.750
```

- calculated total energy (eV/atom) = -18.587
- total magnetic moment (μB/f.u.) = 0.00
- uncorrected formation energy (eV/atom) = -2.6849

=====

6.
A PBEsol-optimized structure of Mn5Co. Source: Alexandria via LeMat-Bulk, functional meta-GGA SCAN.

Cell and atoms, written as CIF:
```
data_Mn5Co
_chemical_formula_sum 'Mn5 Co1'
_cell_length_a 2.442
_cell_length_b 2.442
_cell_length_c 10.398
_cell_angle_alpha 90.00
_cell_angle_beta 90.00
_cell_angle_gamma 90.00
_symmetry_space_group_name_H-M 'P 1'
_symmetry_Int_Tables_number 1
loop_
_symmetry_equiv_pos_as_xyz
'x,y,z'
loop_
_atom_site_label
_atom_site_type_symbol
_atom_site_fract_x
_atom_site_fract_y
_atom_site_fract_z
Mn1 Mn 0.000 0.000 0.000
Mn2 Mn 0.000 0.000 0.335
Mn3 Mn 0.000 0.000 0.665
Mn4 Mn 0.500 0.500 0.167
Mn5 Mn 0.500 0.500 0.833
Co1 Co 0.500 0.500 0.500
```

- calculated total energy (eV/atom) = -18.067
- total magnetic moment (μB/f.u.) = 1.15
- calculated formation energy (eV/atom) = 0.03

=====

7.
A PBEsol-optimized structure of AlV2O4. Source: Alexandria via LeMat-Bulk, functional meta-GGA SCAN.

Cell and atoms, written as CIF:
```
data_AlV2O4
_chemical_formula_sum 'Al4 V8 O16'
_cell_length_a 5.788
_cell_length_b 5.788
_cell_length_c 10.065
_cell_angle_alpha 106.30
_cell_angle_beta 106.30
_cell_angle_gamma 59.23
_symmetry_space_group_name_H-M 'P 1'
_symmetry_Int_Tables_number 1
loop_
_symmetry_equiv_pos_as_xyz
'x,y,z'
loop_
_atom_site_label
_atom_site_type_symbol
_atom_site_fract_x
_atom_site_fract_y
_atom_site_fract_z
Al1 Al 0.057 0.566 0.688
Al2 Al 0.434 0.943 0.812
Al3 Al 0.566 0.057 0.188
Al4 Al 0.943 0.434 0.312
V1 V 0.000 0.000 0.000
V2 V 0.000 0.000 0.500
V3 V 0.000 0.500 0.000
V4 V 0.261 0.739 0.250
V5 V 0.500 0.000 0.500
V6 V 0.500 0.500 0.000
V7 V 0.500 0.500 0.500
V8 V 0.739 0.261 0.750
O1 O 0.118 0.129 0.875
O2 O 0.121 0.627 0.874
O3 O 0.124 0.625 0.374
O4 O 0.129 0.118 0.375
O5 O 0.370 0.377 0.625
O6 O 0.373 0.879 0.626
O7 O 0.375 0.876 0.126
O8 O 0.377 0.370 0.125
O9 O 0.623 0.630 0.875
O10 O 0.625 0.124 0.874
O11 O 0.627 0.121 0.374
O12 O 0.630 0.623 0.375
O13 O 0.871 0.882 0.625
O14 O 0.876 0.375 0.626
O15 O 0.879 0.373 0.126
O16 O 0.882 0.871 0.125
```

- calculated total energy (eV/atom) = -12.513
- total magnetic moment (μB/f.u.) = 2.14
- uncorrected formation energy (eV/atom) = -2.8481

=====

8.
A PBEsol-optimized structure of LaAsW2. Source: Alexandria via LeMat-Bulk, functional meta-GGA SCAN.

Cell and atoms, written as CIF:
```
data_LaAsW2
_chemical_formula_sum 'La1 As1 W2'
_cell_length_a 4.262
_cell_length_b 4.262
_cell_length_c 4.616
_cell_angle_alpha 90.00
_cell_angle_beta 90.00
_cell_angle_gamma 97.61
_symmetry_space_group_name_H-M 'P 1'
_symmetry_Int_Tables_number 1
loop_
_symmetry_equiv_pos_as_xyz
'x,y,z'
loop_
_atom_site_label
_atom_site_type_symbol
_atom_site_fract_x
_atom_site_fract_y
_atom_site_fract_z
La1 La 0.000 0.000 0.000
As1 As 0.500 0.500 0.000
W1 W 0.315 0.685 0.500
W2 W 0.685 0.315 0.500
```

- calculated total energy (eV/atom) = -50.273
- total magnetic moment (μB/f.u.) = 0.00
- calculated formation energy (eV/atom) = 0.40

=====

9.
A PBEsol-optimized structure of YFePt2Au. Source: Alexandria via LeMat-Bulk, functional meta-GGA SCAN.

Cell and atoms, written as CIF:
```
data_YFePt2Au
_chemical_formula_sum 'Y1 Fe1 Pt2 Au1'
_cell_length_a 4.970
_cell_length_b 4.970
_cell_length_c 5.120
_cell_angle_alpha 90.00
_cell_angle_beta 90.00
_cell_angle_gamma 90.00
_symmetry_space_group_name_H-M 'P 1'
_symmetry_Int_Tables_number 1
loop_
_symmetry_equiv_pos_as_xyz
'x,y,z'
loop_
_atom_site_label
_atom_site_type_symbol
_atom_site_fract_x
_atom_site_fract_y
_atom_site_fract_z
Y1 Y 0.000 0.000 0.000
Fe1 Fe 0.500 0.500 0.500
Pt1 Pt 0.000 0.500 0.000
Pt2 Pt 0.500 0.000 0.000
Au1 Au 0.000 0.000 0.500
```

- calculated total energy (eV/atom) = -50.000
- total magnetic moment (μB/f.u.) = 3.80
- calculated formation energy (eV/atom) = 1.10

=====

10.
A PBEsol-optimized structure of HgGeBr2. Source: Alexandria via LeMat-Bulk, functional meta-GGA SCAN.

Cell and atoms, written as CIF:
```
data_HgGeBr2
_chemical_formula_sum 'Hg1 Ge1 Br2'
_cell_length_a 10.681
_cell_length_b 10.681
_cell_length_c 10.681
_cell_angle_alpha 20.97
_cell_angle_beta 20.97
_cell_angle_gamma 20.97
_symmetry_space_group_name_H-M 'P 1'
_symmetry_Int_Tables_number 1
loop_
_symmetry_equiv_pos_as_xyz
'x,y,z'
loop_
_atom_site_label
_atom_site_type_symbol
_atom_site_fract_x
_atom_site_fract_y
_atom_site_fract_z
Hg1 Hg 0.000 0.000 0.000
Ge1 Ge 0.500 0.500 0.500
Br1 Br 0.114 0.114 0.114
Br2 Br 0.886 0.886 0.886
```

- calculated total energy (eV/atom) = -31.889
- total magnetic moment (μB/f.u.) = 0.00
- uncorrected formation energy (eV/atom) = -0.3455